DFT (meta-GGA SCAN) results for KSmF4 at its PBEsol-relaxed geometry.

Structure (POSCAR):
```
KSmF4
1.0
6.119 0.000 0.000
0.000 3.654 0.000
0.000 0.000 15.414
K Sm F
4 4 16
Cartesian
1.350 0.913 3.125
1.709 2.740 10.832
4.410 0.913 4.582
4.769 2.740 12.289
1.520 2.740 6.787
1.539 0.913 14.494
4.580 2.740 0.920
4.599 0.913 8.626
0.028 0.913 0.893
0.571 0.913 12.463
0.631 0.913 5.659
0.829 0.913 8.267
2.230 2.740 0.560
2.428 2.740 13.366
2.488 2.740 4.757
3.032 2.740 8.600
3.088 0.913 6.814
3.631 0.913 10.657
3.691 0.913 2.048
3.889 0.913 14.854
5.290 2.740 7.147
5.488 2.740 9.755
5.548 2.740 2.950
6.091 2.740 14.521
```

Properties
E_form (uncorrected) in eV per atom: -3.988
E in eV/atom: -15.14
Space-group type: No. 62
V in Å³ per atom: 14.36

DFT (meta-GGA SCAN) results for RhPbF3 at its PBEsol-relaxed geometry.

Structure (POSCAR):
```
RhPbF3
1.0
4.227 0.000 0.000
0.000 4.227 0.000
0.000 0.000 4.227
Rh Pb F
1 1 3
Cartesian
0.000 0.000 0.000
2.113 2.113 2.113
0.000 0.000 2.113
0.000 2.113 0.000
2.113 0.000 0.000
```

Properties
E_form (uncorrected) in eV per atom: -1.315
E in eV/atom: -25.35
Space-group type: No. 221
V in Å³ per atom: 15.10

DFT (meta-GGA SCAN) results for TlSiAg at its PBEsol-relaxed geometry.

Structure (POSCAR):
```
TlSiAg
1.0
3.335 0.000 0.000
-1.667 2.888 0.000
0.000 0.000 6.231
Tl Si Ag
1 1 1
Cartesian
0.000 0.000 0.000
0.000 1.925 2.235
1.667 0.963 3.931
```

Properties
E_form (uncorrected) in eV per atom: 0.451
E in eV/atom: -37.46
Space-group type: No. 156
V in Å³ per atom: 20.01

Please write out number 2 again, unchanged.
DFT (meta-GGA SCAN) results for RhPbF3 at its PBEsol-relaxed geometry.

Structure (POSCAR):
```
RhPbF3
1.0
4.227 0.000 0.000
0.000 4.227 0.000
0.000 0.000 4.227
Rh Pb F
1 1 3
Cartesian
0.000 0.000 0.000
2.113 2.113 2.113
0.000 0.000 2.113
0.000 2.113 0.000
2.113 0.000 0.000
```

Properties
E_form (uncorrected) in eV per atom: -1.315
E in eV/atom: -25.35
Space-group type: No. 221
V in Å³ per atom: 15.10